DFT (PBE-GGA) results for Pa2Si4Ru5 after structural relaxation.

Geometry as POSCAR:
```
Pa2Si4Ru5
1.0
-3.0511 -3.9722 -2.9327
2.5175 -3.1804 -4.0550
-0.0182 -6.3782 2.9143
Ru Si Pa
5 4 2
direct
0.7500 0.5000 0.5000
0.0000 0.5000 0.0000
0.5000 0.5000 0.0000
0.5000 0.0000 0.0000
0.2500 0.5000 0.5000
0.5027 0.7163 0.2783
0.7810 0.7163 0.7217
0.2190 0.2837 0.2783
0.4973 0.2837 0.7217
0.1206 0.0000 0.7588
0.8794 0.0000 0.2412
```

Calculated values
Total magnetic moment ... 0.608 μB per cell
DOS(E_F) ... 5.79 states/eV per cell
Uncorrected energy ... -94.323 eV/cell
Formation energy from raw total energies ... -700 kJ/mol of formula units
ρ ... 9.78 g/cm³

---

DFT (PBE-GGA) results for Pa4Si6Ru7 after structural relaxation.

Geometry as POSCAR:
```
Pa4Si6Ru7
1.0
6.7540 0.0000 -2.3879
-3.3770 5.8491 -2.3879
0.0000 0.0000 7.1637
Ru Si Pa
7 6 4
direct
0.0000 0.0000 0.0000
0.7500 0.2500 0.5000
0.2500 0.5000 0.7500
0.2500 0.7500 0.5000
0.5000 0.7500 0.2500
0.5000 0.2500 0.7500
0.7500 0.5000 0.2500
0.0000 0.6815 0.6815
0.0000 0.3185 0.3185
0.3185 0.0000 0.3185
0.6815 0.6815 0.0000
0.3185 0.3185 0.0000
0.6815 0.0000 0.6815
0.5000 0.0000 0.0000
0.0000 0.0000 0.5000
0.5000 0.5000 0.5000
0.0000 0.5000 0.0000
```

Calculated values
Total magnetic moment ... 0.000 μB per cell
DOS(E_F) ... 10.96 states/eV per cell
Uncorrected energy ... -149.939 eV/cell
Formation energy from raw total energies ... -1398 kJ/mol of formula units
ρ ... 10.56 g/cm³

---

DFT (PBE-GGA) results for PaSiRu after structural relaxation.

Geometry as POSCAR:
```
PaSiRu
1.0
3.4559 0.0000 0.0000
0.0000 4.3168 0.0000
0.0000 -2.1584 3.7385
Pa Ru Si
1 1 1
direct
0.6667 0.6667 0.3333
0.1665 0.0000 0.0000
0.1667 0.3333 0.6667
```

Calculated values
Total magnetic moment ... 0.000 μB per cell
DOS(E_F) ... 4.32 states/eV per cell
Uncorrected energy ... -26.204 eV/cell
Formation energy from raw total energies ... -194 kJ/mol of formula units
ρ ... 10.72 g/cm³

---

- Which of these has the lowest ρ?
  Pa2Si4Ru5

---

- Among the records above, which one has the highest DOS(E_F)?
  Pa4Si6Ru7

---

- Among the records above, which one has the highest formation energy from raw total energies?
  PaSiRu